Record 1
Here is CrFe2Ru after structural relaxation from the Alexandria database. Energies are from PBEsol.

```
CrFe2Ru
1.0
1.272 0.735 8.132
-1.272 0.735 8.132
0.000 -1.469 8.132
Cr Fe Ru
1 2 1
direct
0.000 0.000 0.000
0.493 0.493 0.493
0.747 0.747 0.747
0.246 0.246 0.246
```

Formation enthalpy at 0 K (eV/atom): 0.20
Density of states at the Fermi level (states/eV per atom): 1.39
Energy (eV per atom): -9.39
SG: No. 160

Record 2
Here is AlReW after structural relaxation from the Alexandria database. Energies are from PBEsol.

```
AlReW
1.0
-1.554 1.554 4.571
1.554 -1.554 4.571
1.554 1.554 -4.571
Al Re W
1 1 1
direct
0.000 0.000 0.000
0.668 0.668 0.000
0.323 0.323 0.000
```

Formation enthalpy at 0 K (eV/atom): -0.14
Density of states at the Fermi level (states/eV per atom): 0.31
Energy (eV per atom): -10.55
SG: No. 107

Record 3
Here is Y2ZrTe after structural relaxation from the Alexandria database. Energies are from PBEsol.

```
Y2ZrTe
1.0
-1.793 2.701 5.419
1.793 -2.701 5.419
1.793 2.701 -5.419
Y Zr Te
2 1 1
direct
0.000 0.000 0.000
0.721 0.221 0.500
0.261 0.761 0.500
0.477 0.477 0.000
```

Density of states at the Fermi level (states/eV per atom): 1.26
Energy (eV per atom): -6.97
E_form (uncorrected) (eV per atom): -0.41
SG: No. 44

Record 4
Here is BaCd after structural relaxation from the Alexandria database. Energies are from PBEsol.

```
BaCd
1.0
0.000 3.955 3.955
3.955 0.000 3.955
3.955 3.955 0.000
Ba Cd
2 2
direct
0.125 0.125 0.125
0.875 0.875 0.875
0.375 0.375 0.375
0.625 0.625 0.625
```

Formation enthalpy at 0 K (eV/atom): -0.21
Density of states at the Fermi level (states/eV per atom): 0.07
Energy (eV per atom): -1.89
SG: No. 227